[1]
A plane-wave DFT calculation with PBE was carried out for a relaxed CsReRh2 crystal.

Values from the calculation:
Raw total energy: -5.861 eV/atom
Energy of formation from the pure elements: 1.141 eV/atom
SG: I-42d, No. 122
N(E_F): 11.37 states/eV/cell

a = 7.4650 Å, b = 7.4650 Å, c = 6.5072 Å
α = 55.00°, β = 55.00°, γ = 90.00°
Last column: nearest neighbours and their distance in Å.
Sites, in units of the cell vectors:
Cs1 0.5000 0.5000 0.0000  8 Rh 3.33-3.60
Cs2 0.2500 0.7500 0.5000  8 Rh 3.33-3.60
Re1 0.0000 0.0000 0.0000  4 Rh 2.39
Re2 0.7500 0.2500 0.5000  4 Rh 2.39
Rh1 0.7214 0.1250 0.2500  2 Re 2.39
Rh2 0.0286 0.6250 0.2500  2 Re 2.39
Rh3 0.3750 0.2786 0.7500  2 Re 2.39
Rh4 0.8750 0.9714 0.7500  2 Re 2.39

---

[2]
A plane-wave DFT calculation with PBE was carried out for a relaxed Cs3ReRh crystal.

Values from the calculation:
Raw total energy: -2.840 eV/atom
Energy of formation from the pure elements: 1.632 eV/atom
SG: Pm-3m, No. 221
N(E_F): 8.74 states/eV/cell

a = 6.1084 Å, b = 6.1084 Å, c = 6.1084 Å
α = 90.00°, β = 90.00°, γ = 90.00°
Last column: nearest neighbours and their distance in Å.
Sites, in units of the cell vectors:
Cs1 0.0000 0.5000 0.0000  2 Rh 3.05
Cs2 0.0000 0.0000 0.5000  2 Rh 3.05
Cs3 0.5000 0.0000 0.0000  2 Rh 3.05
Re1 0.5000 0.5000 0.5000  12 Cs 4.32
Rh1 0.0000 0.0000 0.0000  6 Cs 3.05